w.
# PBE CuRh3F, relaxed
# - crystal system = cubic
# - calculated volume (Å³/cell) = 75.2
data_CuRh3F
_cell_length_a 4.221
_cell_length_b 4.221
_cell_length_c 4.221
_cell_angle_alpha 90.00
_cell_angle_beta 90.00
_cell_angle_gamma 90.00
_space_group_name_H-M_alt 'P 1'
_space_group_IT_number 1
loop_
_space_group_symop_operation_xyz
'x,y,z'
loop_
_atom_site_label
_atom_site_type_symbol
_atom_site_fract_x
_atom_site_fract_y
_atom_site_fract_z
_atom_site_occupancy
Cu1 Cu 0.000 0.000 0.000 1
Rh1 Rh 0.000 0.500 0.500 1
Rh2 Rh 0.500 0.000 0.500 1
Rh3 Rh 0.500 0.500 0.000 1
F1 F 0.500 0.500 0.500 1

x.
# PBE CuRh3F, relaxed
# - crystal system = cubic
# - calculated volume (Å³/cell) = 95.7
data_CuRh3F
_cell_length_a 4.574
_cell_length_b 4.574
_cell_length_c 4.574
_cell_angle_alpha 90.00
_cell_angle_beta 90.00
_cell_angle_gamma 90.00
_space_group_name_H-M_alt 'P 1'
_space_group_IT_number 1
loop_
_space_group_symop_operation_xyz
'x,y,z'
loop_
_atom_site_label
_atom_site_type_symbol
_atom_site_fract_x
_atom_site_fract_y
_atom_site_fract_z
_atom_site_occupancy
Cu1 Cu 0.000 0.000 0.000 1
Rh1 Rh 0.000 0.000 0.500 1
Rh2 Rh 0.000 0.500 0.000 1
Rh3 Rh 0.500 0.000 0.000 1
F1 F 0.500 0.500 0.500 1

Computed energies relative to the best structure, in meV per atom: w 0; x 514

w.
# PBE Cu2RhF, relaxed
# - crystal system = tetragonal
# - calculated volume (Å³/cell) = 101.8
data_Cu2RhF
_cell_length_a 5.191
_cell_length_b 5.191
_cell_length_c 5.191
_cell_angle_alpha 102.39
_cell_angle_beta 102.39
_cell_angle_gamma 124.82
_space_group_name_H-M_alt 'P 1'
_space_group_IT_number 1
loop_
_space_group_symop_operation_xyz
'x,y,z'
loop_
_atom_site_label
_atom_site_type_symbol
_atom_site_fract_x
_atom_site_fract_y
_atom_site_fract_z
_atom_site_occupancy
Cu1 Cu 0.083 0.625 0.958 1
Cu2 Cu 0.375 0.333 0.458 1
Cu3 Cu 0.667 0.125 0.042 1
Cu4 Cu 0.875 0.917 0.542 1
Rh1 Rh 0.250 0.750 0.500 1
Rh2 Rh 0.500 0.500 0.000 1
F1 F 0.000 0.000 0.000 1
F2 F 0.750 0.250 0.500 1

x.
# PBE Cu2RhF, relaxed
# - crystal system = cubic
# - calculated volume (Å³/cell) = 51.2
data_Cu2RhF
_cell_length_a 4.169
_cell_length_b 4.169
_cell_length_c 4.169
_cell_angle_alpha 60.00
_cell_angle_beta 60.00
_cell_angle_gamma 60.00
_space_group_name_H-M_alt 'P 1'
_space_group_IT_number 1
loop_
_space_group_symop_operation_xyz
'x,y,z'
loop_
_atom_site_label
_atom_site_type_symbol
_atom_site_fract_x
_atom_site_fract_y
_atom_site_fract_z
_atom_site_occupancy
Cu1 Cu 0.250 0.250 0.250 1
Cu2 Cu 0.750 0.750 0.750 1
Rh1 Rh 0.000 0.000 0.000 1
F1 F 0.500 0.500 0.500 1

Computed energies relative to the best structure, in meV per atom: w 0; x 108

w.
# PBE Cu2Rh2F, relaxed
# - crystal system = tetragonal
# - calculated volume (Å³/cell) = 78.1
data_Cu2Rh2F
_cell_length_a 6.826
_cell_length_b 6.826
_cell_length_c 6.826
_cell_angle_alpha 150.25
_cell_angle_beta 150.25
_cell_angle_gamma 42.58
_space_group_name_H-M_alt 'P 1'
_space_group_IT_number 1
loop_
_space_group_symop_operation_xyz
'x,y,z'
loop_
_atom_site_label
_atom_site_type_symbol
_atom_site_fract_x
_atom_site_fract_y
_atom_site_fract_z
_atom_site_occupancy
Cu1 Cu 0.098 0.098 0.000 1
Cu2 Cu 0.902 0.902 0.000 1
Rh1 Rh 0.250 0.750 0.500 1
Rh2 Rh 0.750 0.250 0.500 1
F1 F 0.500 0.500 0.000 1

x.
# PBE Cu2Rh2F, relaxed
# - crystal system = tetragonal
# - calculated volume (Å³/cell) = 142.6
data_Cu2Rh2F
_cell_length_a 7.298
_cell_length_b 7.298
_cell_length_c 2.677
_cell_angle_alpha 90.00
_cell_angle_beta 90.00
_cell_angle_gamma 90.00
_space_group_name_H-M_alt 'P 1'
_space_group_IT_number 1
loop_
_space_group_symop_operation_xyz
'x,y,z'
loop_
_atom_site_label
_atom_site_type_symbol
_atom_site_fract_x
_atom_site_fract_y
_atom_site_fract_z
_atom_site_occupancy
Cu1 Cu 0.171 0.329 0.000 1
Cu2 Cu 0.329 0.829 0.000 1
Cu3 Cu 0.671 0.171 0.000 1
Cu4 Cu 0.829 0.671 0.000 1
Rh1 Rh 0.127 0.627 0.500 1
Rh2 Rh 0.373 0.127 0.500 1
Rh3 Rh 0.627 0.873 0.500 1
Rh4 Rh 0.873 0.373 0.500 1
F1 F 0.000 0.000 0.000 1
F2 F 0.500 0.500 0.000 1

Computed energies relative to the best structure, in meV per atom: w 64; x 0

w.
# PBE CuRuF2, relaxed
# - crystal system = cubic
# - calculated volume (Å³/cell) = 48.7
data_CuRuF2
_cell_length_a 4.100
_cell_length_b 4.100
_cell_length_c 4.100
_cell_angle_alpha 60.00
_cell_angle_beta 60.00
_cell_angle_gamma 60.00
_space_group_name_H-M_alt 'P 1'
_space_group_IT_number 1
loop_
_space_group_symop_operation_xyz
'x,y,z'
loop_
_atom_site_label
_atom_site_type_symbol
_atom_site_fract_x
_atom_site_fract_y
_atom_site_fract_z
_atom_site_occupancy
Cu1 Cu 0.000 0.000 0.000 1
Ru1 Ru 0.500 0.500 0.500 1
F1 F 0.250 0.250 0.250 1
F2 F 0.750 0.750 0.750 1

x.
# PBE CuRuF2, relaxed
# - crystal system = trigonal
# - calculated volume (Å³/cell) = 46.2
data_CuRuF2
_cell_length_a 7.456
_cell_length_b 7.456
_cell_length_c 7.456
_cell_angle_alpha 20.91
_cell_angle_beta 20.91
_cell_angle_gamma 20.91
_space_group_name_H-M_alt 'P 1'
_space_group_IT_number 1
loop_
_space_group_symop_operation_xyz
'x,y,z'
loop_
_atom_site_label
_atom_site_type_symbol
_atom_site_fract_x
_atom_site_fract_y
_atom_site_fract_z
_atom_site_occupancy
Cu1 Cu 0.000 0.000 0.000 1
Ru1 Ru 0.500 0.500 0.500 1
F1 F 0.406 0.406 0.406 1
F2 F 0.594 0.594 0.594 1

y.
# PBE CuRuF2, relaxed
# - crystal system = tetragonal
# - calculated volume (Å³/cell) = 113.7
data_CuRuF2
_cell_length_a 5.415
_cell_length_b 5.415
_cell_length_c 5.415
_cell_angle_alpha 101.56
_cell_angle_beta 101.56
_cell_angle_gamma 126.81
_space_group_name_H-M_alt 'P 1'
_space_group_IT_number 1
loop_
_space_group_symop_operation_xyz
'x,y,z'
loop_
_atom_site_label
_atom_site_type_symbol
_atom_site_fract_x
_atom_site_fract_y
_atom_site_fract_z
_atom_site_occupancy
Cu1 Cu 0.000 0.000 0.000 1
Cu2 Cu 0.750 0.250 0.500 1
Ru1 Ru 0.250 0.750 0.500 1
Ru2 Ru 0.500 0.500 0.000 1
F1 F 0.223 0.125 0.598 1
F2 F 0.375 0.777 0.902 1
F3 F 0.527 0.625 0.402 1
F4 F 0.875 0.473 0.098 1

Computed energies relative to the best structure, in meV per atom: w 528; x 0; y 560

w.
# PBE Cu3SF, relaxed
# - crystal system = orthorhombic
# - calculated volume (Å³/cell) = 142.1
data_Cu3SF
_cell_length_a 7.487
_cell_length_b 7.487
_cell_length_c 4.583
_cell_angle_alpha 90.00
_cell_angle_beta 90.00
_cell_angle_gamma 146.44
_space_group_name_H-M_alt 'P 1'
_space_group_IT_number 1
loop_
_space_group_symop_operation_xyz
'x,y,z'
loop_
_atom_site_label
_atom_site_type_symbol
_atom_site_fract_x
_atom_site_fract_y
_atom_site_fract_z
_atom_site_occupancy
Cu1 Cu 0.054 0.946 0.750 1
Cu2 Cu 0.260 0.740 0.250 1
Cu3 Cu 0.345 0.655 0.750 1
Cu4 Cu 0.655 0.345 0.250 1
Cu5 Cu 0.740 0.260 0.750 1
Cu6 Cu 0.946 0.054 0.250 1
S1 S 0.108 0.892 0.250 1
S2 S 0.892 0.108 0.750 1
F1 F 0.398 0.602 0.250 1
F2 F 0.602 0.398 0.750 1

x.
# PBE Cu3SF, relaxed
# - crystal system = cubic
# - calculated volume (Å³/cell) = 79.3
data_Cu3SF
_cell_length_a 4.297
_cell_length_b 4.297
_cell_length_c 4.297
_cell_angle_alpha 90.00
_cell_angle_beta 90.00
_cell_angle_gamma 90.00
_space_group_name_H-M_alt 'P 1'
_space_group_IT_number 1
loop_
_space_group_symop_operation_xyz
'x,y,z'
loop_
_atom_site_label
_atom_site_type_symbol
_atom_site_fract_x
_atom_site_fract_y
_atom_site_fract_z
_atom_site_occupancy
Cu1 Cu 0.000 0.000 0.500 1
Cu2 Cu 0.000 0.500 0.000 1
Cu3 Cu 0.500 0.000 0.000 1
S1 S 0.000 0.000 0.000 1
F1 F 0.500 0.500 0.500 1

Computed energies relative to the best structure, in meV per atom: w 0; x 159